Entry 1:
Density functional theory data (PBE) for a geometry-optimized MnTl4Rh structure.

a = 6.077 Å, b = 6.077 Å, c = 6.077 Å
α = 60.00°, β = 60.00°, γ = 60.00°
Atoms (fractional coordinates):
Mn: 0.000 0.000 0.000
Tl: 0.375 0.375 0.375
Tl: 0.375 0.375 0.874
Tl: 0.375 0.874 0.375
Tl: 0.874 0.375 0.375
Rh: 0.750 0.750 0.750

Properties
- D(E_F) (states/eV/atom) = 0.920
- space group = F-43m, No. 216
- formation energy from the elements (meV/atom) = 846
- size of the total moment (μB/f.u.) = 5.13
- ρ (g cm⁻³) = 10.21

=====

Entry 2:
Density functional theory data (PBE) for a geometry-optimized Mn2TlRhW structure.

a = 4.555 Å, b = 4.555 Å, c = 5.270 Å
α = 90.00°, β = 90.00°, γ = 90.00°
Atoms (fractional coordinates):
Mn: 0.000 0.500 0.000
Mn: 0.500 0.000 0.000
Tl: 0.000 0.000 0.500
Rh: 0.500 0.500 0.500
W: 0.000 0.000 0.000

Properties
- D(E_F) (states/eV/atom) = 0.958
- space group = P4/mmm, No. 123
- formation energy from the elements (meV/atom) = 1538
- size of the total moment (μB/f.u.) = 5.22
- ρ (g cm⁻³) = 9.13

=====

Entry 3:
Density functional theory data (PBE) for a geometry-optimized TmMnRh2 structure.

a = 6.433 Å, b = 6.433 Å, c = 6.433 Å
α = 90.00°, β = 90.00°, γ = 90.00°
Atoms (fractional coordinates):
Tm: 0.000 0.000 0.000
Tm: 0.000 0.500 0.500
Tm: 0.500 0.000 0.500
Tm: 0.500 0.500 0.000
Mn: 0.000 0.000 0.500
Mn: 0.000 0.500 0.000
Mn: 0.500 0.000 0.000
Mn: 0.500 0.500 0.500
Rh: 0.250 0.250 0.250
Rh: 0.250 0.250 0.750
Rh: 0.250 0.750 0.250
Rh: 0.250 0.750 0.750
Rh: 0.750 0.250 0.250
Rh: 0.750 0.250 0.750
Rh: 0.750 0.750 0.250
Rh: 0.750 0.750 0.750

Properties
- D(E_F) (states/eV/atom) = 0.540
- space group = Fm-3m, No. 225
- formation energy from the elements (meV/atom) = -569
- size of the total moment (μB/f.u.) = 4.61
- ρ (g cm⁻³) = 10.72

=====

Entry 4:
Density functional theory data (PBE) for a geometry-optimized Tm3MnRh4 structure.

a = 3.325 Å, b = 3.325 Å, c = 13.008 Å
α = 90.00°, β = 90.00°, γ = 90.00°
Atoms (fractional coordinates):
Tm: 0.000 0.000 0.000
Tm: 0.000 0.000 0.263
Tm: 0.000 0.000 0.737
Mn: 0.000 0.000 0.500
Rh: 0.500 0.500 0.130
Rh: 0.500 0.500 0.389
Rh: 0.500 0.500 0.611
Rh: 0.500 0.500 0.870

Properties
- D(E_F) (states/eV/atom) = 0.303
- space group = P4/mmm, No. 123
- formation energy from the elements (meV/atom) = -745
- size of the total moment (μB/f.u.) = 4.71
- ρ (g cm⁻³) = 11.24

=====

Entry 5:
Density functional theory data (PBE) for a geometry-optimized U4MnRh12 structure.

a = 7.142 Å, b = 7.142 Å, c = 7.142 Å
α = 109.47°, β = 109.47°, γ = 109.47°
Atoms (fractional coordinates):
U: 0.000 0.000 0.500
U: 0.000 0.500 0.000
U: 0.500 0.000 0.000
U: 0.500 0.500 0.500
Mn: 0.000 0.000 0.000
Rh: 0.000 0.286 0.286
Rh: 0.000 0.714 0.714
Rh: 0.250 0.500 0.750
Rh: 0.250 0.750 0.500
Rh: 0.286 0.000 0.286
Rh: 0.286 0.286 0.000
Rh: 0.500 0.250 0.750
Rh: 0.500 0.750 0.250
Rh: 0.714 0.000 0.714
Rh: 0.714 0.714 0.000
Rh: 0.750 0.250 0.500
Rh: 0.750 0.500 0.250

Properties
- D(E_F) (states/eV/atom) = 1.325
- space group = Im-3m, No. 229
- formation energy from the elements (meV/atom) = -475
- size of the total moment (μB/f.u.) = 5.51
- ρ (g cm⁻³) = 13.27

=====

Entry 6:
Density functional theory data (PBE) for a geometry-optimized UMnRh structure.

a = 6.108 Å, b = 6.108 Å, c = 6.108 Å
α = 56.43°, β = 56.43°, γ = 56.43°
Atoms (fractional coordinates):
U: 0.000 0.000 0.000
U: 0.189 0.189 0.189
U: 0.811 0.811 0.811
Mn: 0.253 0.747 0.500
Mn: 0.500 0.253 0.747
Mn: 0.747 0.500 0.253
Rh: 0.000 0.450 0.550
Rh: 0.450 0.550 0.000
Rh: 0.550 0.000 0.450

Properties
- D(E_F) (states/eV/atom) = 1.012
- space group = R32, No. 155
- formation energy from the elements (meV/atom) = -35
- relative energy among the computed polymorphs (kJ per mole of atoms) = 7.4
- size of the total moment (μB/f.u.) = 0.05
- ρ (g cm⁻³) = 13.34

=====

Entry 7:
Density functional theory data (PBE) for a geometry-optimized UMnRh6 structure.

a = 7.794 Å, b = 5.349 Å, c = 7.141 Å
α = 90.00°, β = 113.23°, γ = 90.00°
Atoms (fractional coordinates):
U: 0.000 0.000 0.000
U: 0.500 0.500 0.000
Mn: 0.000 0.500 0.500
Mn: 0.500 0.000 0.500
Rh: 0.141 0.000 0.435
Rh: 0.213 0.240 0.800
Rh: 0.213 0.760 0.800
Rh: 0.287 0.260 0.200
Rh: 0.287 0.740 0.200
Rh: 0.359 0.500 0.565
Rh: 0.641 0.500 0.435
Rh: 0.713 0.260 0.800
Rh: 0.713 0.740 0.800
Rh: 0.787 0.240 0.200
Rh: 0.787 0.760 0.200
Rh: 0.859 0.000 0.565

Properties
- D(E_F) (states/eV/atom) = 1.221
- space group = C2/m, No. 12
- formation energy from the elements (meV/atom) = -7
- relative energy among the computed polymorphs (kJ per mole of atoms) = 37.5
- size of the total moment (μB/f.u.) = 3.73
- ρ (g cm⁻³) = 11.05

=====

Entry 8:
Density functional theory data (PBE) for a geometry-optimized UMnRh6 structure.

a = 5.551 Å, b = 5.551 Å, c = 3.948 Å
α = 90.00°, β = 90.00°, γ = 90.00°
Atoms (fractional coordinates):
U: 0.000 0.000 0.000
Mn: 0.500 0.500 0.000
Rh: 0.000 0.500 0.000
Rh: 0.252 0.252 0.500
Rh: 0.252 0.748 0.500
Rh: 0.500 0.000 0.000
Rh: 0.748 0.252 0.500
Rh: 0.748 0.748 0.500

Properties
- D(E_F) (states/eV/atom) = 1.104
- space group = P4/mmm, No. 123
- formation energy from the elements (meV/atom) = -396
- relative energy among the computed polymorphs (kJ per mole of atoms) = 0.0
- size of the total moment (μB/f.u.) = 3.84
- ρ (g cm⁻³) = 12.43

=====

Entry 9:
Density functional theory data (PBE) for a geometry-optimized UMn2Rh5 structure.

a = 6.549 Å, b = 5.517 Å, c = 5.362 Å
α = 74.02°, β = 54.08°, γ = 51.90°
Atoms (fractional coordinates):
U: 0.000 0.000 0.000
Mn: 0.455 0.907 0.093
Mn: 0.907 0.455 0.545
Rh: 0.010 0.486 0.990
Rh: 0.430 0.430 0.070
Rh: 0.486 0.010 0.514
Rh: 0.500 0.500 0.500
Rh: 0.930 0.930 0.570

Properties
- D(E_F) (states/eV/atom) = 1.246
- space group = Fmm2, No. 42
- formation energy from the elements (meV/atom) = -321
- size of the total moment (μB/f.u.) = 7.16
- ρ (g cm⁻³) = 11.71

=====

Entry 10:
Density functional theory data (PBE) for a geometry-optimized UMnRh structure.

a = 3.686 Å, b = 3.686 Å, c = 7.656 Å
α = 90.00°, β = 90.00°, γ = 90.00°
Atoms (fractional coordinates):
U: 0.000 0.000 0.000
U: 0.500 0.500 0.500
Mn: 0.000 0.000 0.280
Mn: 0.500 0.500 0.780
Rh: 0.000 0.000 0.660
Rh: 0.500 0.500 0.160

Properties
- D(E_F) (states/eV/atom) = 1.186
- space group = I4mm, No. 107
- formation energy from the elements (meV/atom) = -112
- relative energy among the computed polymorphs (kJ per mole of atoms) = 0.0
- size of the total moment (μB/f.u.) = 0.34
- ρ (g cm⁻³) = 12.64

=====

Entry 11:
Density functional theory data (PBE) for a geometry-optimized MnV2Rh structure.

a = 4.045 Å, b = 4.045 Å, c = 3.177 Å
α = 90.00°, β = 90.00°, γ = 90.00°
Atoms (fractional coordinates):
Mn: 0.000 0.000 0.000
V: 0.000 0.500 0.500
V: 0.500 0.000 0.500
Rh: 0.500 0.500 0.000

Properties
- D(E_F) (states/eV/atom) = 1.444
- space group = P4/mmm, No. 123
- formation energy from the elements (meV/atom) = -165
- size of the total moment (μB/f.u.) = 0.46
- ρ (g cm⁻³) = 8.30

=====

Entry 12:
Density functional theory data (PBE) for a geometry-optimized Mn4V9Rh11 structure.

a = 11.561 Å, b = 11.561 Å, c = 2.770 Å
α = 90.00°, β = 90.00°, γ = 116.63°
Atoms (fractional coordinates):
Mn: 0.061 0.254 0.000
Mn: 0.254 0.061 0.000
Mn: 0.746 0.939 0.000
Mn: 0.939 0.746 0.000
V: 0.000 0.000 0.000
V: 0.132 0.661 0.000
V: 0.282 0.446 0.000
V: 0.339 0.868 0.000
V: 0.446 0.282 0.000
V: 0.554 0.718 0.000
V: 0.661 0.132 0.000
V: 0.718 0.554 0.000
V: 0.868 0.339 0.000
Rh: 0.091 0.455 0.500
Rh: 0.139 0.861 0.500
Rh: 0.225 0.225 0.500
Rh: 0.339 0.661 0.500
Rh: 0.455 0.091 0.500
Rh: 0.500 0.500 0.500
Rh: 0.545 0.909 0.500
Rh: 0.661 0.339 0.500
Rh: 0.775 0.775 0.500
Rh: 0.861 0.139 0.500
Rh: 0.909 0.545 0.500

Properties
- D(E_F) (states/eV/atom) = 1.138
- space group = Cmmm, No. 65
- formation energy from the elements (meV/atom) = -193
- size of the total moment (μB/f.u.) = 4.54
- ρ (g cm⁻³) = 9.08

=====

> The highest size of the total moment belongs to which entry?

UMn2Rh5

=====

> What is the size of the total moment in the fourth record?

4.71 μB/f.u.

=====

> What is the ρ in the twelfth record?

9.08 g cm⁻³

=====

> Which value of ρ does entry 7 give?

11.05 g cm⁻³